Dy3MgIn4Te8 GGA-PBE optimized geometry; E_form (uncorrected) = -0.842 eV per atom; energy = -4.06 eV/atom
1.0
-1.866 -3.415 -7.891
-7.475 -4.304 3.631
0.634 8.719 0.982
Te In Dy Mg
8 4 3 1
Direct
0.238 0.721 0.476
0.258 0.275 0.516
0.255 0.280 0.017
0.745 0.720 0.983
0.238 0.720 0.983
0.762 0.280 0.017
0.742 0.725 0.484
0.762 0.279 0.524
0.500 0.000 0.000
0.500 0.000 0.500
0.000 0.000 0.500
0.000 0.000 0.000
0.500 0.500 0.000
0.500 0.500 0.500
0.000 0.500 0.500
0.000 0.500 0.000


La6Nd2HoEr GGA-PBE optimized geometry; energy = -4.71 eV/atom
1.0
9.010 -1.600 -1.661
1.150 8.869 -1.867
1.150 -2.195 8.793
Nd La Er Ho
4 12 2 2
Direct
0.062 0.294 0.205
0.938 0.706 0.795
0.438 0.795 0.706
0.562 0.205 0.294
0.681 0.971 0.535
0.096 0.719 0.429
0.091 0.075 0.777
0.596 0.429 0.719
0.904 0.281 0.571
0.409 0.223 0.925
0.591 0.777 0.075
0.181 0.535 0.971
0.819 0.465 0.029
0.404 0.571 0.281
0.909 0.925 0.223
0.319 0.029 0.465
0.250 0.935 0.065
0.750 0.065 0.935
0.750 0.570 0.430
0.250 0.430 0.570


NaBiSeN2 GGA-PBE optimized geometry; E_form (uncorrected) = 1.615 eV per atom; energy relative to the lowest polymorph listed for this composition = 0.553 eV/atom; energy = -3.45 eV/atom
1.0
-3.060 -3.115 0.724
3.078 -2.598 1.834
-1.036 2.120 4.742
Se Na N Bi
1 1 2 1
Direct
0.000 0.000 0.500
0.000 0.000 0.000
0.000 0.500 0.000
0.500 0.000 0.000
0.500 0.500 0.500


YTcIr2 GGA-PBE optimized geometry; energy relative to the lowest polymorph listed for this composition = 0.283 eV/atom; energy = -8.60 eV/atom
1.0
-1.355 2.353 -1.881
-2.839 -0.307 1.660
2.001 4.563 4.265
Ir Tc Y
2 1 1
Direct
0.000 0.000 0.028
0.500 0.500 0.271
0.000 0.000 0.441
0.500 0.500 0.760


Ca2HgAs2 GGA-PBE optimized geometry; energy = -3.42 eV/atom
1.0
7.768 0.000 0.000
0.000 7.768 0.000
0.000 0.000 4.138
As Ca Hg
4 4 2
Direct
0.158 0.342 0.000
0.658 0.158 0.000
0.842 0.658 0.000
0.342 0.842 0.000
0.651 0.849 0.500
0.151 0.651 0.500
0.349 0.151 0.500
0.849 0.349 0.500
0.500 0.500 0.000
0.000 0.000 0.000


ZnMo2P GGA-PBE optimized geometry; energy relative to the lowest polymorph listed for this composition = 0.029 eV/atom; energy = -7.12 eV/atom
1.0
-2.369 -0.782 -2.070
1.394 -2.882 -0.506
-2.941 -2.157 4.180
Mo P Zn
2 1 1
Direct
0.000 0.000 0.995
0.500 0.500 0.261
0.000 0.000 0.494
0.500 0.500 0.750


CeNd2TmBi5 GGA-PBE optimized geometry; energy = -4.42 eV/atom
1.0
-3.257 4.351 1.297
-4.450 -3.376 0.149
1.902 -2.000 11.486
Bi Ce Nd Tm
5 1 2 1
Direct
0.000 0.500 0.500
0.000 0.000 0.756
0.500 0.500 0.000
0.000 0.000 0.244
0.500 0.000 0.500
0.000 0.000 0.500
0.500 0.500 0.720
0.500 0.500 0.280
0.000 0.000 0.000